Record 1
A plane-wave DFT calculation with PBEsol was carried out for a geometry-optimized CaNiP4 structure.

Results
E_tot   -30.64 eV per formula unit
Energy of formation from the pure elements   0.812 eV/f.u.

a = 7.1875 Å, b = 7.1875 Å, c = 7.1875 Å
α = 90.00°, β = 90.00°, γ = 90.00°
With the nearest neighbours (Å) after each atom.
Space group F-43m (No. 216)
Inequivalent atoms, fractional coordinates:
1 Ca 0.0000 0.0000 0.0000 x4  12 P 3.00, 4 Ni 3.11
2 Ni 0.2500 0.2500 0.2500 x4  12 P 2.97, 4 Ca 3.11
3 P 0.1176 0.1176 0.6176 x16  3 P 2.39


Record 2
A plane-wave DFT calculation with PBEsol was carried out for a geometry-optimized CaNi2P2 structure.

Results
E_tot   -30.67 eV per formula unit
Energy of formation from the pure elements   -4.637 eV/f.u.

a = 3.8594 Å, b = 3.8594 Å, c = 9.2595 Å
α = 90.00°, β = 90.00°, γ = 90.00°
With the nearest neighbours (Å) after each atom.
Space group I4/mmm (No. 139)
Inequivalent atoms, fractional coordinates:
1 Ca 0.0000 0.0000 0.0000 x2  8 P 2.96, 8 Ni 3.01
2 Ni 0.0000 0.5000 0.2500 x4  4 P 2.26
3 P 0.0000 0.0000 0.3761 x4  4 Ni 2.26, 1 P 2.29


Record 3
A plane-wave DFT calculation with PBEsol was carried out for a geometry-optimized CaNi2P structure.

Results
E_tot   -21.35 eV per formula unit
Energy of formation from the pure elements   -1.114 eV/f.u.

a = 3.0752 Å, b = 3.0752 Å, c = 6.2231 Å
α = 90.00°, β = 90.00°, γ = 90.00°
With the nearest neighbours (Å) after each atom.
Space group P4mm (No. 99)
Inequivalent atoms, fractional coordinates:
1 Ca 0.0000 0.0000 0.0000 x1  5 Ni 2.91-2.95, 4 P 3.03, 4 Ca 3.08
2 Ni 0.0000 0.0000 0.5262 x1  4 P 2.33, 4 Ni 2.55
3 Ni 0.5000 0.5000 0.3118 x1  1 P 2.17
4 P 0.5000 0.5000 0.6608 x1  5 Ni 2.17-2.33


Record 4
A plane-wave DFT calculation with PBEsol was carried out for a geometry-optimized CaNi2P structure.

Results
E_tot   -20.26 eV per formula unit
Energy of formation from the pure elements   -0.017 eV/f.u.

a = 6.0950 Å, b = 6.0950 Å, c = 6.0950 Å
α = 90.00°, β = 90.00°, γ = 90.00°
With the nearest neighbours (Å) after each atom.
Space group F-43m (No. 216)
Inequivalent atoms, fractional coordinates:
1 Ca 0.0000 0.0000 0.0000 x4  4 Ni 2.64, 4 P 2.64
2 Ni 0.0000 0.0000 0.5000 x4  4 Ni 2.64, 4 P 2.64
3 Ni 0.2500 0.2500 0.2500 x4  4 Ni 2.64, 4 Ca 2.64
4 P 0.2500 0.2500 0.7500 x4  4 Ni 2.64, 4 Ca 2.64


Record 5
A plane-wave DFT calculation with PBEsol was carried out for a geometry-optimized CaNiPb structure.

Results
E_tot   -12.66 eV per formula unit
Energy of formation from the pure elements   -0.367 eV/f.u.

a = 3.4433 Å, b = 3.4433 Å, c = 10.8550 Å
α = 90.00°, β = 90.00°, γ = 90.00°
With the nearest neighbours (Å) after each atom.
Space group I4mm (No. 107)
Inequivalent atoms, fractional coordinates:
1 Ca 0.0000 0.0000 0.0000 x2  5 Ni 3.12-3.48, 5 Pb 3.14-3.34, 4 Ca 3.44
2 Ni 0.0000 0.0000 0.6795 x2  4 Pb 2.71
3 Pb 0.0000 0.0000 0.2894 x2  4 Ni 2.71


Record 6
A plane-wave DFT calculation with PBEsol was carried out for a geometry-optimized CaNiSbPb2 structure.

Results
E_tot   -21.64 eV per formula unit
Uncorrected formation energy   -159.7 meV per atom

a = 4.9742 Å, b = 4.9742 Å, c = 5.2863 Å
α = 90.00°, β = 90.00°, γ = 90.00°
With the nearest neighbours (Å) after each atom.
Space group P4/mmm (No. 123)
Inequivalent atoms, fractional coordinates:
1 Ca 0.0000 0.0000 0.0000 x1  2 Ni 2.64
2 Ni 0.0000 0.0000 0.5000 x1  4 Pb 2.49, 2 Ca 2.64
3 Sb 0.5000 0.5000 0.0000 x1  4 Ca 3.52, 8 Pb 3.63
4 Pb 0.0000 0.5000 0.5000 x2  2 Ni 2.49


no.,total magnetization (μB per atom),DOS(E_F) (states/eV per cell)
1,0.000,17.56
2,0.000,4.23
3,0.000,2.28
4,0.001,13.74
5,0.000,3.75
6,0.000,2.85